K2Ge2Au: relaxed, PBE.

Summary:
Space group = P4/mbm, No. 127
V = 262.9 Å³/cell
Density of states at the Fermi level = 2.92 states/eV/f.u.
Formation enthalpy at 0 K = -0.12 eV per atom
ΔE to the lowest computed polymorph = 56.4 meV/atom

abc: 6.816 6.816 5.659
angles: 90.00 90.00 90.00
Fractional coordinates of all 10 atoms:
Au1 0.500 0.500 0.000
Au2 0.000 0.000 0.000
Ge1 0.131 0.369 0.000
Ge2 0.869 0.631 0.000
Ge3 0.631 0.131 0.000
Ge4 0.369 0.869 0.000
K1 0.818 0.318 0.500
K2 0.182 0.682 0.500
K3 0.318 0.182 0.500
K4 0.682 0.818 0.500